# Li4TiCo3O8

Crystalline Li4TiCo3O8 at its relaxed geometry (PBE+U, Alexandria via LeMat-Bulk).

POSCAR file:
```
Li4TiCo3O8
1.0
-0.247 -2.048 -5.467
3.546 -6.967 2.429
-5.229 -2.446 1.180
Li Ti Co O
8 2 6 16
Cartesian
-3.443 -5.923 2.378
-2.755 -2.250 -2.122
-3.574 -6.938 -0.344
-2.879 -3.282 -4.868
-0.631 -3.920 -3.211
-1.290 -7.533 1.358
-0.477 -2.896 -0.441
-1.453 -8.565 -1.415
-0.910 -5.778 -0.930
3.235 -8.965 -3.039
3.421 -7.988 -0.300
-0.836 -4.712 1.805
1.178 -7.403 -1.999
-3.099 -4.068 0.138
1.297 -6.359 0.734
-3.229 -5.104 -2.595
2.439 -6.444 -0.851
-2.137 -5.093 -4.207
-4.374 -5.033 -1.002
0.213 -6.372 2.339
-1.960 -4.084 -1.471
-2.540 -7.772 2.880
-0.097 -7.382 -0.222
-4.245 -4.069 1.734
0.417 -4.726 0.109
-4.202 -3.461 -3.139
0.233 -5.624 -2.499
-3.993 -2.421 -0.344
-2.329 -6.728 -1.967
2.250 -8.005 1.278
-2.206 -5.723 0.616
-1.441 -2.189 -3.915
```

Output
space group = P1, No. 1
excess energy over the best structure of this formula in the dataset = 11 meV per atom
DOS(E_F) = 0.4 states/eV per cell